The following is a GGA-PBEsol calculation of an optimized crystal structure of HfSCl6O, from the Alexandria database.

a = 6.7595 Å, b = 7.1766 Å, c = 22.0052 Å
α = 90.00°, β = 90.00°, γ = 116.88°
With the nearest neighbours (Å) after each atom.
Element x y z (fractional)
1 Hf 0.5036 0.6485 0.9249  1 O 2.20, 3 Cl 2.33-2.34
2 Hf 0.4964 0.8515 0.4249  1 O 2.20, 3 Cl 2.33-2.34
3 Hf 0.5036 0.1485 0.5751  1 O 2.20, 3 Cl 2.33-2.34
4 Hf 0.4964 0.3515 0.0751  1 O 2.20, 3 Cl 2.33-2.34
5 S 0.1082 0.6542 0.6390  1 O 1.48
6 S 0.8918 0.3458 0.3610  1 O 1.48
7 S 0.1082 0.1542 0.8610  1 O 1.48
8 S 0.8918 0.8458 0.1390  1 O 1.48
9 Cl 0.3060 0.8297 0.3340  1 Hf 2.34
10 Cl 0.7594 0.9700 0.9651  1 Hf 2.34
11 Cl 0.7594 0.4700 0.5349  1 Hf 2.34
12 Cl 0.2406 0.0300 0.0349  1 Hf 2.34
13 Cl 0.2481 0.2588 0.6100  1 Hf 2.33
14 Cl 0.6940 0.1703 0.6660  1 Hf 2.34
15 Cl 0.1088 0.2468 0.3267  1 S 2.04
16 Cl 0.6940 0.6703 0.8340  1 Hf 2.34
17 Cl 0.7038 0.9603 0.5254  2 Hf 2.55
18 Cl 0.2406 0.5300 0.4651  1 Hf 2.34
19 Cl 0.8912 0.7532 0.6733  1 S 2.04
20 Cl 0.2962 0.5397 0.0254  2 Hf 2.55
21 Cl 0.2962 0.0397 0.4746  2 Hf 2.55
22 Cl 0.8912 0.2532 0.8267  1 S 2.04
23 Cl 0.1088 0.7468 0.1733  1 S 2.04
24 Cl 0.2774 0.1647 0.7824  1 S 2.05
25 Cl 0.7038 0.4603 0.9746  2 Hf 2.55
26 Cl 0.3060 0.3297 0.1660  1 Hf 2.34
27 Cl 0.7519 0.2412 0.1100  1 Hf 2.33
28 Cl 0.2481 0.7588 0.8900  1 Hf 2.33
29 Cl 0.7226 0.8353 0.2176  1 S 2.05
30 Cl 0.7519 0.7412 0.3900  1 Hf 2.33
31 Cl 0.2774 0.6647 0.7176  1 S 2.05
32 Cl 0.7226 0.3353 0.2824  1 S 2.05
33 O 0.2669 0.3276 0.8990  1 S 1.48
34 O 0.7331 0.6724 0.1010  1 S 1.48
35 O 0.7331 0.1724 0.3990  1 S 1.48
36 O 0.2669 0.8276 0.6010  1 S 1.48

Values from the calculation:
* E_tot: -4.8591 eV per atom